Record 1
{"formula": "Pr3Nd2Ho", "functional": "PBE-GGA", "state": "optimized geometry", "e_above_lowest_polymorph_ev_per_atom": 0.133, "final_energy_ev_per_atom": -4.50, "lattice": [[6.843, 0.000, 0.000], [0.000, 18.079, 0.000], [0.000, 0.000, 3.462]], "species": ["Pr", "Pr", "Pr", "Pr", "Pr", "Pr", "Nd", "Nd", "Nd", "Nd", "Ho", "Ho"], "frac_coords": [[0.000, 0.000, 0.000], [0.239, 0.320, 0.000], [0.261, 0.820, 0.500], [0.500, 0.500, 0.500], [0.739, 0.180, 0.500], [0.761, 0.680, 0.000], [0.234, 0.149, 0.500], [0.266, 0.649, 0.000], [0.734, 0.351, 0.000], [0.766, 0.851, 0.500], [0.000, 0.500, 0.000], [0.500, 0.000, 0.500]]}

Record 2
{"formula": "MoRuBr2N", "functional": "PBE-GGA", "state": "optimized geometry", "raw_formation_energy_ev_per_atom": 1.760, "final_energy_ev_per_atom": -4.60, "lattice": [[5.049, 0.000, 0.000], [0.000, 5.049, 0.000], [0.000, 0.000, 4.944]], "species": ["Mo", "Ru", "Br", "Br", "N"], "frac_coords": [[0.000, 0.000, 0.000], [0.000, 0.000, 0.500], [0.000, 0.500, 0.500], [0.500, 0.000, 0.500], [0.500, 0.500, 0.000]]}

Record 3
{"formula": "LaYOF2", "functional": "PBE-GGA", "state": "optimized geometry", "raw_formation_energy_ev_per_atom": -2.455, "e_above_lowest_polymorph_ev_per_atom": 0.260, "final_energy_ev_per_atom": -6.47, "lattice": [[4.787, 0.000, 0.000], [0.000, 4.787, 0.000], [0.000, 0.000, 4.580]], "species": ["La", "Y", "O", "F", "F"], "frac_coords": [[0.000, 0.000, 0.000], [0.500, 0.500, 0.500], [0.000, 0.000, 0.500], [0.000, 0.500, 0.000], [0.500, 0.000, 0.000]]}

Record 4
{"formula": "Cs2H2S3", "functional": "PBE-GGA", "state": "optimized geometry", "final_energy_ev_per_atom": -3.51, "lattice": [[5.326, 0.000, 0.000], [0.000, 4.996, 0.000], [-0.318, 0.000, 7.468]], "species": ["Cs", "Cs", "H", "H", "S", "S", "S"], "frac_coords": [[0.192, 0.000, 0.251], [0.808, 0.000, 0.749], [0.426, 0.500, 0.715], [0.574, 0.500, 0.285], [0.332, 0.500, 0.920], [0.500, 0.500, 0.500], [0.668, 0.500, 0.080]]}

Record 5
{"formula": "Tm4Cd2C", "functional": "PBE-GGA", "state": "optimized geometry", "final_energy_ev_per_atom": -4.35, "lattice": [[-2.417, 2.417, 7.455], [2.417, -2.417, 7.455], [2.417, 2.417, -7.455]], "species": ["Tm", "Tm", "Tm", "Tm", "Cd", "Cd", "C"], "frac_coords": [[0.000, 0.500, 0.500], [0.163, 0.163, 0.000], [0.500, 0.000, 0.500], [0.837, 0.837, 0.000], [0.367, 0.367, 0.000], [0.633, 0.633, 0.000], [0.000, 0.000, 0.000]]}

Record 6
{"formula": "CsBaReH2", "functional": "PBE-GGA", "state": "optimized geometry", "final_energy_ev_per_atom": -3.15, "lattice": [[4.485, 0.000, 0.000], [0.000, 4.485, 0.000], [0.000, 0.000, 5.440]], "species": ["Cs", "Ba", "Re", "H", "H"], "frac_coords": [[0.000, 0.000, 0.000], [0.500, 0.500, 0.000], [0.500, 0.500, 0.500], [0.000, 0.500, 0.500], [0.500, 0.000, 0.500]]}

What is the formula in the first record?
Pr3Nd2Ho

Number 6 is which compound?
CsBaReH2